# 1
Entry from Alexandria: ZrFeCu2 after structural relaxation (PBE).

M_tot = 8.41 Bohr magnetons per cell
Total DFT energy (no corrections) = -72.308 eV for the cell shown
DOS at the Fermi energy = 10.29 states/eV per cell

Structure (CIF):
```
data_ZrFeCu2
_space_group_name_H-M_alt 'R 3 m'
_space_group_IT_number 160
_space_group_name_Hall 'R 3 -2"'
_cell_length_a 2.8048
_cell_length_b 2.8048
_cell_length_c 26.3502
_cell_angle_alpha 90.00
_cell_angle_beta 90.00
_cell_angle_gamma 120.00
loop_
_atom_site_label
_atom_site_type_symbol
_atom_site_fract_x
_atom_site_fract_y
_atom_site_fract_z
Zr1 Zr 0.0000 0.0000 0.0000
Fe1 Fe 0.0000 0.0000 0.2404
Cu1 Cu 0.0000 0.0000 0.4989
Cu2 Cu 0.0000 0.0000 0.7580
```

# 2
Entry from Alexandria: ZrFe3Cu after structural relaxation (PBE).

M_tot = 7.22 Bohr magnetons per cell
Total DFT energy (no corrections) = -33.918 eV for the cell shown
DOS at the Fermi energy = 5.57 states/eV per cell

Structure (CIF):
```
data_ZrFe3Cu
_space_group_name_H-M_alt 'P m -3 m'
_space_group_IT_number 221
_space_group_name_Hall '-P 4 2 3'
_cell_length_a 4.378
_cell_length_b 4.378
_cell_length_c 4.378
_cell_angle_alpha 90.00
_cell_angle_beta 90.00
_cell_angle_gamma 90.00
loop_
_atom_site_label
_atom_site_type_symbol
_atom_site_fract_x
_atom_site_fract_y
_atom_site_fract_z
Zr1 Zr 0.000 0.000 0.000
Fe1 Fe 0.000 0.500 0.500
Cu1 Cu 0.500 0.500 0.500
```

# 3
Entry from Alexandria: Zr2FeCu after structural relaxation (PBE).

M_tot = 0.41 Bohr magnetons per cell
Total DFT energy (no corrections) = -30.234 eV for the cell shown
DOS at the Fermi energy = 3.99 states/eV per cell

Structure (CIF):
```
data_Zr2FeCu
_space_group_name_H-M_alt 'P 1 2/m 1'
_space_group_IT_number 10
_cell_length_a 3.234
_cell_length_b 3.206
_cell_length_c 6.529
_cell_angle_alpha 90.00
_cell_angle_beta 90.10
_cell_angle_gamma 90.00
loop_
_space_group_symop_operation_xyz
'x,y,z'
'-x,-y,-z'
'-x,y,-z'
'x,-y,z'
loop_
_atom_site_label
_atom_site_type_symbol
_atom_site_fract_x
_atom_site_fract_y
_atom_site_fract_z
Zr1 Zr 0.001 0.000 0.261
Fe1 Fe 0.500 0.500 0.500
Cu1 Cu 0.500 0.500 0.000
```

# 4
Entry from Alexandria: Zr2FeCu after structural relaxation (PBE).

M_tot = 0.00 Bohr magnetons per cell
Total DFT energy (no corrections) = -28.862 eV for the cell shown
DOS at the Fermi energy = 3.26 states/eV per cell

Structure (CIF):
```
data_Zr2FeCu
_space_group_name_H-M_alt 'P 1 2/m 1'
_space_group_IT_number 10
_cell_length_a 4.349
_cell_length_b 3.210
_cell_length_c 5.236
_cell_angle_alpha 90.00
_cell_angle_beta 102.60
_cell_angle_gamma 90.00
loop_
_space_group_symop_operation_xyz
'x,y,z'
'-x,-y,-z'
'-x,y,-z'
'x,-y,z'
loop_
_atom_site_label
_atom_site_type_symbol
_atom_site_fract_x
_atom_site_fract_y
_atom_site_fract_z
Zr1 Zr 0.000 0.000 0.000
Zr2 Zr 0.500 0.500 0.500
Fe1 Fe 0.000 0.000 0.500
Cu1 Cu 0.500 0.500 0.000
```